Material: ScCoTc
Method: DFT, PBE
State: relaxed

a = 4.9342 Å, b = 5.0913 Å, c = 5.0913 Å
α = 60.47°, β = 61.02°, γ = 61.02°
Closest atoms and distances in Å follow each position.
Fractional positions:
Sc1 0.1232 0.6268 0.6268  6 Co 2.92-3.03, 6 Tc 2.99, 4 Sc 3.08-3.13
Tc1 0.0000 0.0000 0.0000  2 Tc 2.47, 4 Co 2.55
Sc2 0.8768 0.3732 0.3732  6 Co 2.92-3.03, 6 Tc 2.99, 4 Sc 3.08-3.13
Co1 0.5000 0.5000 0.0000  4 Tc 2.55, 2 Co 2.56
Co2 0.5000 0.0000 0.5000  4 Tc 2.55, 2 Co 2.56
Tc2 0.5000 0.0000 0.0000  2 Tc 2.47, 4 Co 2.55

## Properties
The value obtained for the offset from the most stable computed form is 0.000 eV/atom. For the energy relative to the elements, the calculation gives -28 kJ/mol of atoms. The calculated volume comes out at 92 Å³/cell.